(1)
# Er2Al3Hg

Er2Al3Hg after structural relaxation (PBE, Alexandria).

## Properties
Calculated formation energy ... -464 meV/atom
Symmetry ... Pmm2 (25)
Offset from the most stable computed form ... 0.0000 eV per atom

a b c (Å): 3.4994 4.5846 7.9739
angles (deg): 90.00 90.00 90.00
Sites, in units of the cell vectors:
Er (0.0000, 0.0000, 0.0000)
Er (0.0000, 0.5000, 0.4838)
Al (0.5000, 0.0000, 0.3245)
Al (0.5000, 0.0000, 0.6536)
Al (0.5000, 0.5000, 0.1619)
Hg (0.5000, 0.5000, 0.8245)



(2)
# Hg2IrRu

Hg2IrRu after structural relaxation (PBE, Alexandria).

## Properties
Calculated formation energy ... 648 meV/atom
Symmetry ... Cmmm (65)
Offset from the most stable computed form ... 0.3413 eV per atom

a b c (Å): 2.9502 4.9801 9.6044
angles (deg): 90.00 90.00 90.00
Sites, in units of the cell vectors:
Hg (0.0000, 0.0000, 0.2504)
Hg (0.0000, 0.0000, 0.7496)
Hg (0.5000, 0.5000, 0.2504)
Hg (0.5000, 0.5000, 0.7496)
Ir (0.0000, 0.5000, 0.0000)
Ir (0.5000, 0.0000, 0.0000)
Ru (0.0000, 0.5000, 0.5000)
Ru (0.5000, 0.0000, 0.5000)



(3)
# CdHgMo2W

CdHgMo2W after structural relaxation (PBE, Alexandria).

## Properties
Calculated formation energy ... 1609 meV/atom
Symmetry ... P4/mmm (123)

a b c (Å): 4.7930 4.7930 5.3117
angles (deg): 90.00 90.00 90.00
Sites, in units of the cell vectors:
Cd (0.0000, 0.0000, 0.0000)
Hg (0.5000, 0.5000, 0.0000)
Mo (0.0000, 0.5000, 0.5000)
Mo (0.5000, 0.0000, 0.5000)
W (0.0000, 0.0000, 0.5000)



(4)
# ReTc3As

ReTc3As after structural relaxation (PBE, Alexandria).

## Properties
Calculated formation energy ... 1416 meV/atom
Symmetry ... Pm-3m (221)
Offset from the most stable computed form ... 0.0000 eV per atom

a b c (Å): 4.4475 4.4475 4.4475
angles (deg): 90.00 90.00 90.00
Sites, in units of the cell vectors:
Re (0.0000, 0.0000, 0.0000)
Tc (0.0000, 0.5000, 0.5000)
Tc (0.5000, 0.0000, 0.5000)
Tc (0.5000, 0.5000, 0.0000)
As (0.5000, 0.5000, 0.5000)



(5)
# GdGeAs2

GdGeAs2 after structural relaxation (PBE, Alexandria).

## Properties
Calculated formation energy ... 112 meV/atom
Symmetry ... R-3m (166)

a b c (Å): 3.6636 3.6636 26.4884
angles (deg): 90.00 90.00 120.00
Sites, in units of the cell vectors:
Gd (0.0000, 0.0000, 0.0000)
Gd (0.3333, 0.6667, 0.6667)
Gd (0.6667, 0.3333, 0.3333)
Ge (0.0000, 0.0000, 0.5000)
Ge (0.3333, 0.6667, 0.1667)
Ge (0.6667, 0.3333, 0.8333)
As (0.0000, 0.0000, 0.1081)
As (0.0000, 0.0000, 0.8919)
As (0.3333, 0.6667, 0.5586)
As (0.3333, 0.6667, 0.7748)
As (0.6667, 0.3333, 0.2252)
As (0.6667, 0.3333, 0.4414)



(6)
# FeSb

FeSb after structural relaxation (PBE, Alexandria).

## Properties
Symmetry ... Pmmn (59)
Formation energy from raw total energies ... 0.24 eV per atom

a b c (Å): 4.2893 9.8962 5.4263
angles (deg): 90.00 90.00 90.00
Sites, in units of the cell vectors:
Fe (0.2500, 0.0222, 0.1249)
Fe (0.2500, 0.2500, 0.3033)
Fe (0.2500, 0.4778, 0.1249)
Fe (0.7500, 0.5222, 0.8751)
Fe (0.7500, 0.7500, 0.6967)
Fe (0.7500, 0.9778, 0.8751)
Sb (0.2500, 0.0843, 0.6482)
Sb (0.2500, 0.4157, 0.6482)
Sb (0.2500, 0.7500, 0.9421)
Sb (0.7500, 0.2500, 0.0579)
Sb (0.7500, 0.5843, 0.3518)
Sb (0.7500, 0.9157, 0.3518)



no.,density of states at the Fermi level (states/eV/cell),V (Å³/cell)
1,2.602,127.9
2,8.550,141.1
3,4.541,122.0
4,6.192,88.0
5,12.702,307.9
6,10.751,230.3